Below is a relaxed structure of CrTcRu, with properties calculated at the PBEsol level.

Computed properties:
E_tot	-10.265	eV per atom
spin magnetization	0.000	μB per atom

Geometry as POSCAR:
```
CrTcRu
1.0
0.000 2.146 6.224
1.468 0.000 6.224
1.468 2.146 0.000
Cr Tc Ru
1 1 1
direct
0.000 0.000 0.000 Cr
0.659 0.659 0.341 Tc
0.340 0.340 0.660 Ru
```

***

Below is a relaxed structure of Cr4TcRu, with properties calculated at the PBEsol level.

Computed properties:
E_tot	-10.358	eV per atom
spin magnetization	0.000	μB per atom

Geometry as POSCAR:
```
Cr4TcRu
1.0
0.000 3.302 3.302
3.302 0.000 3.302
3.302 3.302 0.000
Cr Tc Ru
4 1 1
direct
0.124 0.124 0.124 Cr
0.124 0.124 0.627 Cr
0.124 0.627 0.124 Cr
0.627 0.124 0.124 Cr
0.750 0.750 0.750 Tc
0.500 0.500 0.500 Ru
```